Material: SiPbW2Cl
Method: DFT, PBE
State: relaxed

Values from the calculation:
Symmetry = P4/mmm
Crystal system = tetragonal
Calculated total energy = -29.54 eV per cell
Energy relative to the elements, uncorrected = 1.47 eV/atom
D(E_F) = 1.15 states/eV/atom

```
data_SiPbW2Cl
_symmetry_space_group_name_H-M 'P 1'
_symmetry_Int_Tables_number 1
_cell_length_a 4.8266
_cell_length_b 4.6320
_cell_length_c 4.8266
_cell_angle_alpha 90.00
_cell_angle_beta 90.00
_cell_angle_gamma 90.00
loop_
_symmetry_equiv_pos_as_xyz
'x,y,z'
loop_
_atom_site_label
_atom_site_type_symbol
_atom_site_fract_x
_atom_site_fract_y
_atom_site_fract_z
Cl1 Cl 0.0000 0.5000 0.0000
Si1 Si 0.0000 0.0000 0.0000
W1 W 0.0000 0.0000 0.5000
W2 W 0.5000 0.0000 0.0000
Pb1 Pb 0.5000 0.5000 0.5000
```